# 1
Here is a geometry-optimized Fe2WAu structure from Alexandria. Energies are from PBE.

Cell and atoms, written as extended XYZ:
```
4
Lattice="8.810 -0.061 -0.036 8.385 2.707 -0.036 8.385 1.290 2.380" Properties=species:S:1:pos:R:3 pbc="T T T"
Au 19.068 2.934 1.721
W 12.965 1.995 1.170
Fe 25.386 3.906 2.291
Fe 6.530 1.005 0.589
```

Summary:
As for the space group: R3m, No. 160. The energy is -7.963 eV per atom. Its excess energy over the best structure of this formula in the dataset is 0.47 eV/f.u. The formation energy is 326.4 meV/atom.


# 2
Here is a geometry-optimized FeW2Au structure from Alexandria. Energies are from PBE.

Cell and atoms, written as extended XYZ:
```
4
Lattice="-3.030 -0.060 -2.426 1.561 -1.251 -1.919 0.064 -6.265 0.075" Properties=species:S:1:pos:R:3 pbc="T T T"
Fe -0.297 -5.667 -2.596
W 0.111 -6.138 0.014
W 0.765 -3.885 -0.860
Au -1.109 -1.909 -1.674
```

Summary:
As for the space group: P2/m, No. 10. The energy is -9.108 eV per atom. Its excess energy over the best structure of this formula in the dataset is 0.32 eV/f.u. The formation energy is 303.7 meV/atom.


# 3
Here is a geometry-optimized FeW2Au structure from Alexandria. Energies are from PBE.

Cell and atoms, written as extended XYZ:
```
4
Lattice="-2.323 1.710 0.246 0.165 -0.441 4.634 2.865 3.393 3.469" Properties=species:S:1:pos:R:3 pbc="T T T"
W 0.000 0.000 0.000
Fe 1.433 1.697 1.735
Au 0.354 2.331 4.174
W -1.079 0.634 2.440
```

Summary:
As for the space group: P2/m, No. 10. The energy is -9.031 eV per atom. Its excess energy over the best structure of this formula in the dataset is 0.63 eV/f.u. The formation energy is 380.7 meV/atom.


# 4
Here is a geometry-optimized Fe2WAu structure from Alexandria. Energies are from PBE.

Cell and atoms, written as extended XYZ:
```
4
Lattice="-3.705 1.300 -0.358 -0.787 -2.464 -0.799 -1.558 -3.198 4.516" Properties=species:S:1:pos:R:3 pbc="T T T"
W -1.095 -2.644 1.732
Au -3.631 -3.641 2.653
Fe -2.422 -0.719 0.742
Fe -0.075 -0.190 0.091
```

Summary:
As for the space group: Pm, No. 6. The energy is -8.021 eV per atom. Its excess energy over the best structure of this formula in the dataset is 0.23 eV/f.u. The formation energy is 267.6 meV/atom.


energy of number 2 (FeW2Au)?
-9.108 eV per atom


Which formula does entry 4 have?
Fe2WAu


Among the records above, which one has the lowest excess energy over the best structure of this formula in the dataset?
number 4